(1)
DFT (PBE) results for an optimized crystal structure of VCuSnRh.

- Mass density: 9.1 g/cm3
- Energy: -6.2521 eV per atom
- Crystal system: cubic
- Magnetic moment: 0.233 μB/atom

Lattice parameters (Å, degrees): 4.4214 4.4214 4.4214 60.00 60.00 60.00
Sites, in units of the cell vectors:
V  0.0000  0.0000  0.0000
Cu  0.7500  0.7500  0.7500
Sn  0.5000  0.5000  0.5000
Rh  0.2500  0.2500  0.2500

(2)
DFT (PBE) results for an optimized crystal structure of Cu2SnRhW.

- Mass density: 8.7 g/cm3
- Energy: -5.4055 eV per atom
- Crystal system: tetragonal
- Magnetic moment: 0.185 μB/atom

Lattice parameters (Å, degrees): 4.6513 4.6513 4.6954 90.00 90.00 90.00
Sites, in units of the cell vectors:
Cu  0.0000  0.5000  0.0000
Cu  0.5000  0.0000  0.0000
Sn  0.0000  0.0000  0.5000
Rh  0.5000  0.5000  0.0000
W  0.5000  0.5000  0.5000